1.
The following is a PBE calculation of a relaxed CsAu2Se2 crystal, from Alexandria.

a = 9.459 Å, b = 9.459 Å, c = 3.190 Å
α = 90.00°, β = 90.00°, γ = 90.00°
Fractional coordinates of all 10 atoms:
Au 0.400 0.900 0.000
Au 0.900 0.600 0.000
Au 0.600 0.100 0.000
Au 0.100 0.400 0.000
Se 0.747 0.753 0.500
Se 0.753 0.253 0.500
Se 0.247 0.747 0.500
Se 0.253 0.247 0.500
Cs 0.500 0.500 0.000
Cs 0.000 0.000 0.000

Results
V (Å³/cell): 285.4
Uncorrected formation energy (meV per atom): -86
DOS(E_F) (states/eV/cell): 7.39

---

2.
The following is a PBE calculation of a relaxed CsAuSe4 crystal, from Alexandria.

a = 8.881 Å, b = 13.360 Å, c = 7.340 Å
α = 120.44°, β = 89.88°, γ = 131.84°
Fractional coordinates of all 12 atoms:
Se 0.035 0.078 0.795
Se 0.674 0.718 0.795
Se 0.379 0.923 0.205
Se 0.260 0.718 0.795
Se 0.740 0.282 0.205
Se 0.621 0.077 0.795
Se 0.965 0.922 0.205
Se 0.326 0.282 0.205
Au 0.351 0.101 0.202
Au 0.649 0.899 0.798
Cs 0.055 0.305 0.609
Cs 0.945 0.695 0.391

Results
V (Å³/cell): 476.9
Uncorrected formation energy (meV per atom): -396

---

3.
The following is a PBE calculation of a relaxed Cs2AuSe crystal, from Alexandria.

a = 9.774 Å, b = 9.774 Å, c = 7.732 Å
α = 50.80°, β = 50.80°, γ = 90.00°
Fractional coordinates of all 8 atoms:
Cs 0.875 0.868 0.750
Cs 0.618 0.125 0.250
Cs 0.375 0.382 0.750
Cs 0.132 0.625 0.250
Au 0.750 0.250 0.500
Au 0.000 0.000 0.000
Se 0.250 0.750 0.500
Se 0.500 0.500 0.000

Results
V (Å³/cell): 331.3
Uncorrected formation energy (meV per atom): -371
DOS(E_F) (states/eV/cell): 2.87

---

4.
The following is a PBE calculation of a relaxed CsAu3Se3 crystal, from Alexandria.

a = 4.175 Å, b = 11.276 Å, c = 11.276 Å
α = 120.00°, β = 90.00°, γ = 90.00°
Fractional coordinates of all 14 atoms:
Se 0.750 0.698 0.621
Se 0.250 0.076 0.698
Se 0.750 0.924 0.302
Se 0.750 0.379 0.076
Se 0.250 0.302 0.379
Se 0.250 0.621 0.924
Au 0.750 0.321 0.262
Au 0.250 0.059 0.321
Au 0.250 0.262 0.941
Au 0.750 0.738 0.059
Au 0.250 0.679 0.738
Au 0.750 0.941 0.679
Cs 0.750 0.333 0.667
Cs 0.250 0.667 0.333

Results
V (Å³/cell): 459.7
Uncorrected formation energy (meV per atom): -253
DOS(E_F) (states/eV/cell): 10.84

---

5.
The following is a PBE calculation of a relaxed Cs8Au5Se crystal, from Alexandria.

a = 9.486 Å, b = 9.486 Å, c = 9.486 Å
α = 109.46°, β = 109.46°, γ = 109.49°
Fractional coordinates of all 14 atoms:
Cs 0.130 0.530 0.746
Cs 0.991 0.736 0.119
Cs 0.616 0.870 0.400
Cs 0.470 0.216 0.600
Cs 0.616 0.871 0.881
Cs 0.784 0.384 0.254
Cs 0.129 0.009 0.745
Cs 0.264 0.384 0.255
Au 0.381 0.004 0.129
Au 0.749 0.619 0.623
Au 0.996 0.125 0.377
Au 0.500 0.500 0.000
Au 0.875 0.251 0.871
Se 0.250 0.750 0.500

Results
V (Å³/cell): 657.0
Uncorrected formation energy (meV per atom): -463
DOS(E_F) (states/eV/cell): 7.07

---

6.
The following is a PBE calculation of a relaxed CsAuSe crystal, from Alexandria.

a = 4.645 Å, b = 5.884 Å, c = 6.402 Å
α = 62.72°, β = 68.73°, γ = 90.02°
Fractional coordinates of all 3 atoms:
Au 0.804 0.207 0.722
Se 0.228 0.131 0.875
Cs 0.600 0.502 0.132

Results
V (Å³/cell): 141.9
Uncorrected formation energy (meV per atom): -626

---

7.
The following is a PBE calculation of a relaxed Cs2Au2Se crystal, from Alexandria.

a = 7.060 Å, b = 7.060 Å, c = 6.316 Å
α = 56.02°, β = 56.02°, γ = 90.00°
Fractional coordinates of all 5 atoms:
Au 0.332 0.332 0.336
Au 0.668 0.668 0.664
Cs 0.750 0.250 0.500
Cs 0.250 0.750 0.500
Se 0.000 0.000 0.000

Results
V (Å³/cell): 192.9
Uncorrected formation energy (meV per atom): -560
DOS(E_F) (states/eV/cell): 0.00

---

8.
The following is a PBE calculation of a relaxed Cs2Au2Se crystal, from Alexandria.

a = 7.688 Å, b = 7.688 Å, c = 5.502 Å
α = 90.00°, β = 90.00°, γ = 90.00°
Fractional coordinates of all 10 atoms:
Se 0.500 0.500 0.000
Se 0.000 0.000 0.000
Au 0.627 0.873 0.000
Au 0.873 0.373 0.000
Au 0.127 0.627 0.000
Au 0.373 0.127 0.000
Cs 0.185 0.315 0.500
Cs 0.685 0.185 0.500
Cs 0.815 0.685 0.500
Cs 0.315 0.815 0.500

Results
V (Å³/cell): 325.1
Uncorrected formation energy (meV per atom): -341
DOS(E_F) (states/eV/cell): 0.09

---

9.
The following is a PBE calculation of a relaxed CsAuSe2 crystal, from Alexandria.

a = 6.154 Å, b = 6.154 Å, c = 6.154 Å
α = 60.71°, β = 60.71°, γ = 60.71°
Fractional coordinates of all 4 atoms:
Au 0.000 0.000 0.000
Cs 0.500 0.500 0.500
Se 0.158 0.158 0.158
Se 0.842 0.842 0.842

Results
V (Å³/cell): 167.5
Uncorrected formation energy (meV per atom): -307
DOS(E_F) (states/eV/cell): 2.60

---

10.
The following is a PBE calculation of a relaxed CsAuSe crystal, from Alexandria.

a = 5.077 Å, b = 5.077 Å, c = 5.932 Å
α = 115.34°, β = 115.34°, γ = 90.00°
Fractional coordinates of all 3 atoms:
Au 0.375 0.375 0.751
Se 0.628 0.628 0.257
Cs 0.996 0.996 0.993

Results
V (Å³/cell): 121.7
Uncorrected formation energy (meV per atom): -215
DOS(E_F) (states/eV/cell): 1.66

---

11.
The following is a PBE calculation of a relaxed CsAuSe2 crystal, from Alexandria.

a = 9.635 Å, b = 9.635 Å, c = 9.635 Å
α = 24.72°, β = 24.72°, γ = 24.72°
Fractional coordinates of all 4 atoms:
Se 0.121 0.121 0.121
Se 0.879 0.879 0.879
Cs 0.000 0.000 0.000
Au 0.500 0.500 0.500

Results
V (Å³/cell): 137.6
Uncorrected formation energy (meV per atom): -58
DOS(E_F) (states/eV/cell): 3.44

---

12.
The following is a PBE calculation of a relaxed CsAuSe crystal, from Alexandria.

a = 5.514 Å, b = 4.569 Å, c = 4.569 Å
α = 120.00°, β = 90.00°, γ = 90.00°
Fractional coordinates of all 3 atoms:
Se 0.167 0.000 0.000
Au 0.167 0.333 0.667
Cs 0.667 0.667 0.333

Results
V (Å³/cell): 99.7
Uncorrected formation energy (meV per atom): -683
DOS(E_F) (states/eV/cell): 0.25